*i*
A plane-wave DFT calculation with PBE was carried out for a geometry-optimized TmHfSc4 structure.

Cell lengths 5.9765, 8.3754, 7.7820 Å; angles 113.08, 100.33, 112.36 degrees
Last column: nearest neighbours and their distance in Å.
Fractional positions:
Sc (0.9644, 0.8396, 0.2549)  5 Sc 3.07-3.44, 2 Hf 3.13-3.21, 2 Tm 3.27-3.32
Sc (0.7905, 0.4153, 0.2549)  5 Sc 3.07-3.44, 2 Hf 3.13-3.21, 2 Tm 3.27-3.32
Sc (0.3702, 0.9050, 0.6211)  2 Hf 3.00-3.01, 4 Sc 3.07-3.23
Sc (0.6298, 0.0950, 0.3789)  2 Hf 3.00-3.01, 4 Sc 3.07-3.23
Sc (0.7509, 0.7161, 0.6211)  2 Hf 3.00-3.01, 4 Sc 3.07-3.23
Sc (0.2491, 0.2839, 0.3789)  2 Hf 3.00-3.01, 4 Sc 3.07-3.23
Sc (0.2095, 0.5847, 0.7451)  5 Sc 3.07-3.44, 2 Hf 3.13-3.21, 2 Tm 3.27-3.32
Sc (0.0356, 0.1604, 0.7451)  5 Sc 3.07-3.44, 2 Hf 3.13-3.21, 2 Tm 3.27-3.32
Hf (0.2477, 0.9977, 0.9954)  2 Hf 2.99, 8 Sc 3.00-3.21
Hf (0.7523, 0.0023, 0.0046)  2 Hf 2.99, 8 Sc 3.00-3.21
Tm (0.6634, 0.4134, 0.8268)  10 Sc 3.27-3.59
Tm (0.3366, 0.5866, 0.1732)  10 Sc 3.27-3.59

Output
Crystal system: monoclinic
Total magnetization: 0.0 μB/f.u.
Space group: No. 15
DOS at the Fermi energy: 1.81 states/eV/atom

*ii*
A plane-wave DFT calculation with PBE was carried out for a geometry-optimized TmHfSc4 structure.

Cell lengths 3.3123, 5.1608, 8.8703 Å; angles 90.02, 100.76, 90.00 degrees
Last column: nearest neighbours and their distance in Å.
Fractional positions:
Sc (0.7313, 0.5028, 0.7081)  8 Sc 3.21-3.56, 2 Hf 3.26, 2 Tm 3.28
Sc (0.2851, 0.0028, 0.8161)  2 Hf 3.18-3.19, 8 Sc 3.21-3.31, 2 Tm 3.40
Sc (0.9446, 0.0027, 0.1342)  6 Sc 3.18-3.31, 4 Hf 3.20, 2 Tm 3.40-3.41
Sc (0.0503, 0.5026, 0.3467)  4 Sc 3.18-3.31, 2 Hf 3.22, 4 Tm 3.27
Hf (0.3928, 0.5028, 0.0304)  10 Sc 3.18-3.26, 2 Hf 3.31
Tm (0.6149, 0.0026, 0.4757)  10 Sc 3.27-3.41, 2 Tm 3.31

Output
Crystal system: orthorhombic
Total magnetization: 0.0 μB/f.u.
Space group: No. 38
DOS at the Fermi energy: 1.80 states/eV/atom

Which structure is most stable? *ii*, by 124 meV per atom over the runner-up.

*i*
A plane-wave DFT calculation with PBE was carried out for a geometry-optimized TmHfSc6 structure.

Cell lengths 5.1594, 6.6498, 6.6498 Å; angles 120.01, 90.00, 90.00 degrees
Last column: nearest neighbours and their distance in Å.
Fractional positions:
Hf (0.5000, 0.4165, 0.5835)  12 Sc 3.19-3.33
Sc (0.5000, 0.9143, 0.0857)  8 Sc 3.22-3.37, 2 Tm 3.23, 2 Hf 3.32
Sc (0.0000, 0.5799, 0.9097)  2 Hf 3.19, 8 Sc 3.22-3.40, 2 Tm 3.32-3.33
Sc (0.0000, 0.5796, 0.4204)  2 Hf 3.19, 8 Sc 3.22-3.40, 2 Tm 3.32
Sc (0.5000, 0.9140, 0.5783)  8 Sc 3.22-3.38, 2 Tm 3.23, 2 Hf 3.32-3.33
Sc (0.5000, 0.4217, 0.0860)  8 Sc 3.22-3.38, 2 Tm 3.23, 2 Hf 3.32-3.33
Sc (0.0000, 0.0903, 0.4201)  2 Hf 3.19, 8 Sc 3.22-3.40, 2 Tm 3.32-3.33
Tm (0.0000, 0.0834, 0.9166)  12 Sc 3.23-3.33

Output
Crystal system: hexagonal
Total magnetization: 0.0 μB/f.u.
Space group: No. 187
DOS at the Fermi energy: 2.07 states/eV/atom

*ii*
A plane-wave DFT calculation with PBE was carried out for a geometry-optimized TmHfSc6 structure.

Cell lengths 4.5241, 6.6008, 6.6008 Å; angles 90.03, 90.00, 90.00 degrees
Last column: nearest neighbours and their distance in Å.
Fractional positions:
Sc (0.0000, 0.8636, 0.6136)  8 Sc 3.15-3.45, 2 Hf 3.17, 2 Tm 3.33
Sc (0.0000, 0.3866, 0.6134)  8 Sc 3.15-3.45, 2 Hf 3.17, 2 Tm 3.33
Sc (0.0000, 0.3864, 0.1364)  8 Sc 3.15-3.45, 2 Hf 3.17, 2 Tm 3.33
Sc (0.5000, 0.6250, 0.8750)  8 Sc 3.25, 2 Hf 3.30, 2 Tm 3.30
Sc (0.5000, 0.1250, 0.3750)  8 Sc 3.25, 2 Hf 3.30, 2 Tm 3.30
Sc (0.0000, 0.8634, 0.1366)  8 Sc 3.15-3.45, 2 Hf 3.17, 2 Tm 3.33
Tm (0.5000, 0.1250, 0.8750)  12 Sc 3.30-3.33
Hf (0.5000, 0.6250, 0.3750)  12 Sc 3.17-3.30

Output
Crystal system: tetragonal
Total magnetization: 0.0 μB/f.u.
Space group: No. 123
DOS at the Fermi energy: 1.73 states/eV/atom

Which structure is most stable? *i*, by 30 meV per atom over the runner-up.

*i*
A plane-wave DFT calculation with PBE was carried out for a geometry-optimized TmHf6Sc12 structure.

Cell lengths 7.8835, 7.8836, 7.8836 Å; angles 99.28, 99.29, 99.29 degrees
Last column: nearest neighbours and their distance in Å.
Fractional positions:
Hf (0.3440, 0.9005, 0.9005)  1 Hf 2.77, 2 Sc 3.10
Hf (0.9005, 0.9005, 0.3440)  1 Hf 2.77, 2 Sc 3.10
Hf (0.0995, 0.0995, 0.6560)  1 Hf 2.77, 2 Sc 3.10
Hf (0.0995, 0.6560, 0.0995)  1 Hf 2.77, 2 Sc 3.10
Hf (0.9005, 0.3440, 0.9005)  1 Hf 2.77, 2 Sc 3.10
Hf (0.6560, 0.0995, 0.0995)  1 Hf 2.77, 2 Sc 3.10
Sc (0.2369, 0.5000, 0.7631)  6 Sc 2.99-3.25, 4 Hf 3.10-3.17
Sc (0.9218, 0.6510, 0.6510)  6 Sc 2.99-3.25
Sc (0.7631, 0.2369, 0.5000)  6 Sc 2.99-3.25, 4 Hf 3.10-3.17
Sc (0.2369, 0.7631, 0.5000)  6 Sc 2.99-3.25, 4 Hf 3.10-3.17
Sc (0.3490, 0.3490, 0.0782)  6 Sc 2.99-3.25
Sc (0.5000, 0.7631, 0.2369)  6 Sc 2.99-3.25, 4 Hf 3.10-3.17
Sc (0.5000, 0.2369, 0.7631)  6 Sc 2.99-3.25, 4 Hf 3.10-3.17
Sc (0.0782, 0.3490, 0.3490)  6 Sc 2.99-3.25
Sc (0.7631, 0.5000, 0.2369)  6 Sc 2.99-3.25, 4 Hf 3.10-3.17
Sc (0.6510, 0.9218, 0.6510)  6 Sc 2.99-3.25
Sc (0.3490, 0.0782, 0.3490)  6 Sc 2.99-3.25
Sc (0.6510, 0.6510, 0.9218)  6 Sc 2.99-3.25
Tm (0.0000, 0.0000, 0.0000)  6 Hf 3.12, 6 Sc 3.46

Output
Crystal system: trigonal
Total magnetization: 0.0 μB/f.u.
Space group: No. 166
DOS at the Fermi energy: 1.55 states/eV/atom

*ii*
A plane-wave DFT calculation with PBE was carried out for a geometry-optimized TmHf6Sc12 structure.

Cell lengths 8.0195, 8.0195, 8.0195 Å; angles 95.39, 95.39, 95.39 degrees
Last column: nearest neighbours and their distance in Å.
Fractional positions:
Sc (0.5000, 0.8745, 0.1255)  4 Hf 2.78-2.93, 1 Sc 2.98
Sc (0.4846, 0.2013, 0.4846)  7 Sc 3.23-3.36, 3 Hf 3.24-3.52
Sc (0.8745, 0.5000, 0.1255)  4 Hf 2.78-2.93, 1 Sc 2.98
Sc (0.2013, 0.4846, 0.4846)  7 Sc 3.23-3.36, 3 Hf 3.24-3.52
Sc (0.7987, 0.5154, 0.5154)  7 Sc 3.23-3.36, 3 Hf 3.24-3.52
Sc (0.1255, 0.5000, 0.8745)  4 Hf 2.78-2.93, 1 Sc 2.98
Sc (0.5000, 0.1255, 0.8745)  4 Hf 2.78-2.93, 1 Sc 2.98
Sc (0.4846, 0.4846, 0.2013)  7 Sc 3.23-3.36, 3 Hf 3.24-3.52
Sc (0.5154, 0.5154, 0.7987)  7 Sc 3.23-3.36, 3 Hf 3.24-3.52
Sc (0.1255, 0.8745, 0.5000)  4 Hf 2.78-2.93, 1 Sc 2.98
Sc (0.5154, 0.7987, 0.5154)  7 Sc 3.23-3.36, 3 Hf 3.24-3.52
Sc (0.8745, 0.1255, 0.5000)  4 Hf 2.78-2.93, 1 Sc 2.98
Hf (0.1857, 0.1857, 0.7302)  4 Sc 2.78-2.93
Hf (0.8143, 0.2698, 0.8143)  4 Sc 2.78-2.93
Hf (0.1857, 0.7302, 0.1857)  4 Sc 2.78-2.93
Hf (0.8143, 0.8143, 0.2698)  4 Sc 2.78-2.93
Hf (0.7302, 0.1857, 0.1857)  4 Sc 2.78-2.93
Hf (0.2698, 0.8143, 0.8143)  4 Sc 2.78-2.93
Tm (0.0000, 0.0000, 0.0000)  6 Hf 3.15

Output
Crystal system: trigonal
Total magnetization: 0.0 μB/f.u.
Space group: No. 166
DOS at the Fermi energy: 1.30 states/eV/atom

Which structure is most stable? *i*, by 278 meV per atom over the runner-up.

*i*
A plane-wave DFT calculation with PBE was carried out for a geometry-optimized HfScV2 structure.

Cell lengths 7.1693, 7.1693, 5.8128 Å; angles 51.93, 51.93, 90.00 degrees
Last column: nearest neighbours and their distance in Å.
Fractional positions:
Sc (0.5000, 0.5000, 0.0000)  4 V 2.62, 2 Hf 2.84
Sc (0.2500, 0.7500, 0.5000)  4 V 2.62, 2 Hf 2.84
V (0.6224, 0.1250, 0.2500)  2 Sc 2.62, 2 Hf 2.65, 2 V 2.84
V (0.8750, 0.8724, 0.7500)  2 Sc 2.62, 2 Hf 2.65, 2 V 2.84
V (0.1276, 0.6250, 0.2500)  2 Sc 2.62, 2 Hf 2.65, 2 V 2.84
V (0.3750, 0.3776, 0.7500)  2 Sc 2.62, 2 Hf 2.65, 2 V 2.84
Hf (0.0000, 0.0000, 0.0000)  4 V 2.65, 2 Sc 2.84
Hf (0.7500, 0.2500, 0.5000)  4 V 2.65, 2 Sc 2.84

Output
Crystal system: tetragonal
Total magnetization: 0.0 μB/f.u.
Space group: No. 122
DOS at the Fermi energy: 1.30 states/eV/atom

*ii*
A plane-wave DFT calculation with PBE was carried out for a geometry-optimized HfScV2 structure.

Cell lengths 4.7352, 4.7352, 4.7352 Å; angles 60.00, 60.00, 60.00 degrees
Last column: nearest neighbours and their distance in Å.
Fractional positions:
V (0.7500, 0.7500, 0.7500)  4 Hf 2.90, 4 Sc 2.90
V (0.2500, 0.2500, 0.2500)  4 Hf 2.90, 4 Sc 2.90
Hf (0.5000, 0.5000, 0.5000)  8 V 2.90
Sc (0.0000, 0.0000, 0.0000)  8 V 2.90

Output
Crystal system: cubic
Total magnetization: 5.6 μB/f.u.
Space group: No. 225
DOS at the Fermi energy: 1.29 states/eV/atom

*iii*
A plane-wave DFT calculation with PBE was carried out for a geometry-optimized HfScV2 structure.

Cell lengths 3.3434, 4.7468, 4.7468 Å; angles 90.00, 90.00, 90.00 degrees
Last column: nearest neighbours and their distance in Å.
Fractional positions:
V (0.0000, 0.0000, 0.5000)  4 Sc 2.90, 4 Hf 2.90
V (0.0000, 0.5000, 0.0000)  4 Hf 2.90, 4 Sc 2.90
Sc (0.5000, 0.5000, 0.5000)  8 V 2.90
Hf (0.5000, 0.0000, 0.0000)  8 V 2.90

Output
Crystal system: tetragonal
Total magnetization: 5.7 μB/f.u.
Space group: No. 123
DOS at the Fermi energy: 1.31 states/eV/atom

Which structure is most stable? *iii*, by 6 meV per atom over the runner-up.

*i*
A plane-wave DFT calculation with PBE was carried out for a geometry-optimized Hf2Sc2W structure.

Cell lengths 3.9092, 3.9092, 7.7432 Å; angles 75.38, 75.38, 90.00 degrees
Last column: nearest neighbours and their distance in Å.
Fractional positions:
Sc (0.4114, 0.4114, 0.1771)  1 Sc 2.56
Sc (0.5886, 0.5886, 0.8229)  1 Sc 2.56
Hf (0.2500, 0.7500, 0.5000)  4 Hf 2.76, 4 Sc 3.05
Hf (0.7500, 0.2500, 0.5000)  4 Hf 2.76, 4 Sc 3.05
W (0.0000, 0.0000, 0.0000)  8 Sc 3.05

Output
Crystal system: tetragonal
Total magnetization: 0.0 μB/f.u.
Space group: No. 139
DOS at the Fermi energy: 1.00 states/eV/atom

*ii*
A plane-wave DFT calculation with PBE was carried out for a geometry-optimized Hf2Sc2W structure.

Cell lengths 6.8052, 6.8052, 4.6663 Å; angles 90.00, 90.00, 90.00 degrees
Last column: nearest neighbours and their distance in Å.
Fractional positions:
Sc (0.6445, 0.1445, 0.0000)  2 W 2.61, 1 Sc 2.78
Sc (0.3555, 0.8555, 0.0000)  2 W 2.61, 1 Sc 2.78
Sc (0.8555, 0.6445, 0.0000)  2 W 2.61, 1 Sc 2.78
Sc (0.1445, 0.3555, 0.0000)  2 W 2.61, 1 Sc 2.78
Hf (0.1655, 0.6655, 0.5000)  6 Sc 2.96-3.15, 1 Hf 3.19
Hf (0.3345, 0.1655, 0.5000)  6 Sc 2.96-3.15, 1 Hf 3.19
Hf (0.6655, 0.8345, 0.5000)  6 Sc 2.96-3.15, 1 Hf 3.19
Hf (0.8345, 0.3345, 0.5000)  6 Sc 2.96-3.15, 1 Hf 3.19
W (0.0000, 0.0000, 0.0000)  4 Sc 2.61
W (0.5000, 0.5000, 0.0000)  4 Sc 2.61

Output
Crystal system: tetragonal
Total magnetization: 0.0 μB/f.u.
Space group: No. 127
DOS at the Fermi energy: 1.11 states/eV/atom

Which structure is most stable? *ii*, by 256 meV per atom over the runner-up.